No. 1
DFT (SCAN) results for a crystal of Tb3Pr relaxed with PBEsol.

a = 4.984 Å, b = 4.984 Å, c = 6.097 Å
α = 114.13°, β = 114.13°, γ = 90.00°
Sites, in units of the cell vectors:
Tb1 0.500 0.500 0.000
Tb2 0.250 0.750 0.500
Tb3 0.750 0.250 0.500
Pr1 0.000 0.000 0.000

Output
ΔE_f	8	kJ/mol of formula units
calculated volume	30.901	Å³/atom

=====

No. 2
DFT (SCAN) results for a crystal of Pr2Te5 relaxed with PBEsol.

a = 4.384 Å, b = 4.383 Å, c = 22.330 Å
α = 84.37°, β = 90.00°, γ = 90.00°
Sites, in units of the cell vectors:
Te1 0.250 0.542 0.916
Te2 0.750 0.250 0.500
Te3 0.250 0.173 0.654
Te4 0.750 0.620 0.760
Te5 0.750 0.042 0.916
Te6 0.250 0.750 0.500
Te7 0.750 0.827 0.346
Te8 0.250 0.380 0.240
Te9 0.250 0.958 0.084
Te10 0.750 0.458 0.084
Pr1 0.250 0.307 0.386
Pr2 0.750 0.693 0.614
Pr3 0.250 0.098 0.803
Pr4 0.750 0.902 0.197

Output
calculated volume	30.506	Å³/atom

=====

No. 3
DFT (SCAN) results for a crystal of PrTe2 relaxed with PBEsol.

a = 4.461 Å, b = 4.461 Å, c = 9.064 Å
α = 90.00°, β = 90.00°, γ = 90.00°
Sites, in units of the cell vectors:
Te1 0.500 0.500 0.000
Te2 0.500 0.000 0.631
Te3 0.000 0.500 0.369
Te4 0.000 0.000 0.000
Pr1 0.500 0.000 0.271
Pr2 0.000 0.500 0.729

Output
calculated volume	30.070	Å³/atom

=====

No. 4
DFT (SCAN) results for a crystal of PrTl3 relaxed with PBEsol.

a = 4.741 Å, b = 4.741 Å, c = 4.741 Å
α = 90.00°, β = 90.00°, γ = 90.00°
Sites, in units of the cell vectors:
Tl1 0.000 0.500 0.500
Tl2 0.500 0.500 0.000
Tl3 0.500 0.000 0.500
Pr1 0.000 0.000 0.000

Output
ΔE_f	-175	kJ/mol of formula units
calculated volume	26.644	Å³/atom

=====

No. 5
DFT (SCAN) results for a crystal of Pr5Tl3 relaxed with PBEsol.

a = 6.165 Å, b = 9.360 Å, c = 9.360 Å
α = 83.77°, β = 70.77°, γ = 70.77°
Sites, in units of the cell vectors:
Pr1 0.750 0.500 0.500
Pr2 0.585 0.694 0.135
Pr3 0.085 0.135 0.694
Pr4 0.280 0.135 0.306
Pr5 0.250 0.500 0.500
Pr6 0.915 0.865 0.306
Pr7 0.220 0.694 0.865
Pr8 0.720 0.865 0.694
Pr9 0.415 0.306 0.865
Pr10 0.780 0.306 0.135
Tl1 0.250 0.000 0.000
Tl2 0.750 0.000 0.000
Tl3 0.839 0.500 0.822
Tl4 0.661 0.178 0.500
Tl5 0.339 0.822 0.500
Tl6 0.161 0.500 0.178

Output
ΔE_f	-427	kJ/mol of formula units
calculated volume	30.098	Å³/atom

=====

No. 6
DFT (SCAN) results for a crystal of PrTmTl2 relaxed with PBEsol.

a = 5.336 Å, b = 5.336 Å, c = 5.336 Å
α = 60.00°, β = 60.00°, γ = 60.00°
Sites, in units of the cell vectors:
Tl1 0.750 0.750 0.750
Tl2 0.250 0.250 0.250
Tm1 0.000 0.000 0.000
Pr1 0.500 0.500 0.500

Output
ΔE_f	-205	kJ/mol of formula units
calculated volume	26.862	Å³/atom

=====

No. 7
DFT (SCAN) results for a crystal of PrYTl2 relaxed with PBEsol.

a = 5.369 Å, b = 5.369 Å, c = 5.369 Å
α = 60.00°, β = 60.00°, γ = 60.00°
Sites, in units of the cell vectors:
Tl1 0.750 0.750 0.750
Tl2 0.250 0.250 0.250
Y1 0.000 0.000 0.000
Pr1 0.500 0.500 0.500

Output
ΔE_f	-232	kJ/mol of formula units
calculated volume	27.363	Å³/atom

=====

No. 8
DFT (SCAN) results for a crystal of PrY3 relaxed with PBEsol.

a = 5.667 Å, b = 7.190 Å, c = 7.190 Å
α = 120.00°, β = 90.00°, γ = 90.00°
Last column: magnetic moment on the atom in μB.
Sites, in units of the cell vectors:
Y1 0.750 0.834 0.166  0.20
Y2 0.250 0.668 0.834  0.20
Y3 0.750 0.332 0.166  0.20
Y4 0.750 0.834 0.668  0.20
Y5 0.250 0.166 0.332  0.20
Y6 0.250 0.166 0.834  0.20
Pr1 0.750 0.333 0.667  0.16
Pr2 0.250 0.667 0.333  0.16

Output
ΔE_f	6	kJ/mol of formula units
calculated volume	31.715	Å³/atom

=====

No. 9
DFT (SCAN) results for a crystal of PrY3 relaxed with PBEsol.

a = 5.012 Å, b = 5.012 Å, c = 6.111 Å
α = 114.23°, β = 114.23°, γ = 89.99°
Sites, in units of the cell vectors:
Y1 0.250 0.750 0.500
Y2 0.750 0.250 0.500
Y3 0.500 0.500 0.000
Pr1 0.000 0.000 0.000

Output
ΔE_f	17	kJ/mol of formula units
calculated volume	31.248	Å³/atom

=====

No. 10
DFT (SCAN) results for a crystal of PrY relaxed with PBEsol.

a = 3.592 Å, b = 3.592 Å, c = 17.380 Å
α = 84.07°, β = 84.07°, γ = 60.00°
Last column: magnetic moment on the atom in μB.
Sites, in units of the cell vectors:
Y1 0.112 0.112 0.664  0.06
Y2 0.610 0.610 0.170  -0.15
Y3 0.889 0.889 0.332  -0.14
Pr1 0.999 0.999 0.004  -0.01
Pr2 0.390 0.390 0.831  0.03
Pr3 0.501 0.501 0.498  -0.01

Output
ΔE_f	0	kJ/mol of formula units
calculated volume	32.142	Å³/atom

=====

No. 11
DFT (SCAN) results for a crystal of PrY relaxed with PBEsol.

a = 3.607 Å, b = 3.607 Å, c = 5.740 Å
α = 90.00°, β = 90.00°, γ = 120.00°
Last column: magnetic moment on the atom in μB.
Sites, in units of the cell vectors:
Pr1 0.000 0.000 0.000  -0.04
Y1 0.667 0.333 0.500  0.10

Output
ΔE_f	7	kJ/mol of formula units
calculated volume	32.337	Å³/atom

=====

No. 12
DFT (SCAN) results for a crystal of PrYZn2 relaxed with PBEsol.

a = 5.061 Å, b = 5.061 Å, c = 5.061 Å
α = 60.00°, β = 60.00°, γ = 60.00°
Sites, in units of the cell vectors:
Zn1 0.750 0.750 0.750
Zn2 0.250 0.250 0.250
Pr1 0.500 0.500 0.500
Y1 0.000 0.000 0.000

Output
ΔE_f	-152	kJ/mol of formula units
calculated volume	22.918	Å³/atom

=====

Computed uncorrected energy, in the same sequence as the records: -183.5; -563.5; -244.3; -262.2; -876.3; -242.0; -218.3; -253.6; -126.7; -213.5; -71.1; -99.8 eV per cell.
Computed M_tot, in the same sequence as the records: 0.000; 0.000; 0.000; 0.000; 0.000; 0.001; 0.001; 0.306; 0.000; 0.055; 0.041; 0.000 μB per atom.